Below is a relaxed Nd6Ho2Cd crystal, with properties calculated at the PBE level.

a b c (Å): 5.0960 10.7478 10.7493
angles (deg): 90.00 90.01 90.00
With the nearest neighbours (Å) after each atom.
Atoms (fractional coordinates):
Nd: 0.0002 0.0017 0.1693  1 Cd 3.56, 3 Ho 3.57-3.58, 8 Nd 3.59-3.65
Nd: 0.0000 0.6692 0.5021  1 Cd 3.56, 3 Ho 3.57-3.58, 8 Nd 3.59-3.65
Nd: 0.0001 0.6589 0.8415  2 Cd 3.51, 4 Ho 3.52-3.65, 6 Nd 3.59-3.65
Nd: 0.4999 0.1589 0.6585  2 Cd 3.51, 4 Ho 3.52-3.65, 6 Nd 3.59-3.65
Nd: 0.5000 0.1692 0.9979  1 Cd 3.56, 3 Ho 3.57-3.58, 8 Nd 3.59-3.65
Nd: 0.4998 0.5018 0.3307  1 Cd 3.56, 3 Ho 3.57-3.58, 8 Nd 3.59-3.65
Nd: 0.9998 0.9983 0.8307  1 Cd 3.56, 3 Ho 3.57-3.58, 8 Nd 3.59-3.65
Nd: 0.0000 0.3308 0.4979  1 Cd 3.56, 3 Ho 3.57-3.58, 8 Nd 3.59-3.65
Nd: 0.9999 0.3411 0.1585  2 Cd 3.51, 4 Ho 3.52-3.65, 6 Nd 3.59-3.65
Nd: 0.5001 0.8411 0.3415  2 Cd 3.51, 4 Ho 3.52-3.65, 6 Nd 3.59-3.65
Nd: 0.5000 0.8308 0.0021  1 Cd 3.56, 3 Ho 3.57-3.58, 8 Nd 3.59-3.65
Nd: 0.5002 0.4982 0.6693  1 Cd 3.56, 3 Ho 3.57-3.58, 8 Nd 3.59-3.65
Ho: 0.0001 0.3312 0.8309  10 Nd 3.52-3.65, 2 Cd 3.62
Ho: 0.4999 0.8312 0.6692  10 Nd 3.52-3.65, 2 Cd 3.62
Ho: 0.5001 0.1688 0.3308  10 Nd 3.52-3.65, 2 Cd 3.62
Ho: 0.9999 0.6688 0.1691  10 Nd 3.52-3.65, 2 Cd 3.62
Cd: 0.5000 0.5000 0.0000  8 Nd 3.51-3.56, 4 Ho 3.62
Cd: 0.0000 0.0000 0.5000  8 Nd 3.51-3.56, 4 Ho 3.62

Output
**Space group**: P4_2/mnm (136)
**Total moment**: 0.00 Bohr magnetons per cell
**Energy of formation from the pure elements**: -0.012 eV/atom
**N(E_F)**: 13.28 states/eV/f.u.
**Polymorph energy (0 for the lowest one)**: 0 meV per atom

Below is a relaxed RbMnPb2Br8 crystal, with properties calculated at the PBE level.

a b c (Å): 7.2135 6.7240 9.1661
angles (deg): 89.78 89.90 86.37
With the nearest neighbours (Å) after each atom.
Atoms (fractional coordinates):
Rb: 0.0000 0.0000 0.5000  6 Br 3.32-3.34
Mn: 0.0000 0.0000 0.0000  4 Br 2.46
Pb: 0.5004 0.4995 0.7664  6 Br 3.05-3.14
Pb: 0.4996 0.5005 0.2336  6 Br 3.05-3.14
Br: 0.1378 0.7765 0.1896  1 Mn 2.46
Br: 0.6729 0.7572 0.9992  1 Mn 2.95, 2 Pb 3.06-3.07
Br: 0.8599 0.2213 0.1888  1 Mn 2.46
Br: 0.8622 0.2235 0.8104  1 Mn 2.46
Br: 0.3271 0.2428 0.0008  1 Mn 2.95, 2 Pb 3.06-3.07
Br: 0.1401 0.7787 0.8112  1 Mn 2.46
Br: 0.6383 0.7176 0.4991  2 Pb 3.05, 1 Rb 3.32
Br: 0.3617 0.2824 0.5009  2 Pb 3.05, 1 Rb 3.32

Output
**Space group**: P-1 (2)
**Total moment**: 3.99 Bohr magnetons per cell
**Formation energy without anion corrections**: -1060 kJ/mol of formula units
**N(E_F)**: 0.39 states/eV/f.u.

Below is a relaxed Tl2Ag2Hg crystal, with properties calculated at the PBE level.

a b c (Å): 4.5452 4.5452 7.3353
angles (deg): 71.95 71.95 90.00
With the nearest neighbours (Å) after each atom.
Atoms (fractional coordinates):
Tl: 0.7500 0.2500 0.5000  4 Ag 3.00, 4 Tl 3.21
Tl: 0.2500 0.7500 0.5000  4 Ag 3.00, 4 Tl 3.21
Hg: 0.0000 0.0000 0.0000  8 Ag 3.48
Ag: 0.3985 0.3985 0.2031  1 Ag 2.68
Ag: 0.6015 0.6015 0.7969  1 Ag 2.68

Output
**Space group**: I4/mmm (139)
**Total moment**: 0.00 Bohr magnetons per cell
**Energy of formation from the pure elements**: 0.235 eV/atom
**N(E_F)**: 1.97 states/eV/f.u.
**Polymorph energy (0 for the lowest one)**: 144 meV per atom

Question: What is the total moment in the third record?
Answer: 0.00 Bohr magnetons per cell

Copy entry 2 word for word.
Below is a relaxed RbMnPb2Br8 crystal, with properties calculated at the PBE level.

a b c (Å): 7.2135 6.7240 9.1661
angles (deg): 89.78 89.90 86.37
With the nearest neighbours (Å) after each atom.
Atoms (fractional coordinates):
Rb: 0.0000 0.0000 0.5000  6 Br 3.32-3.34
Mn: 0.0000 0.0000 0.0000  4 Br 2.46
Pb: 0.5004 0.4995 0.7664  6 Br 3.05-3.14
Pb: 0.4996 0.5005 0.2336  6 Br 3.05-3.14
Br: 0.1378 0.7765 0.1896  1 Mn 2.46
Br: 0.6729 0.7572 0.9992  1 Mn 2.95, 2 Pb 3.06-3.07
Br: 0.8599 0.2213 0.1888  1 Mn 2.46
Br: 0.8622 0.2235 0.8104  1 Mn 2.46
Br: 0.3271 0.2428 0.0008  1 Mn 2.95, 2 Pb 3.06-3.07
Br: 0.1401 0.7787 0.8112  1 Mn 2.46
Br: 0.6383 0.7176 0.4991  2 Pb 3.05, 1 Rb 3.32
Br: 0.3617 0.2824 0.5009  2 Pb 3.05, 1 Rb 3.32

Output
**Space group**: P-1 (2)
**Total moment**: 3.99 Bohr magnetons per cell
**Formation energy without anion corrections**: -1060 kJ/mol of formula units
**N(E_F)**: 0.39 states/eV/f.u.

Question: Which value of total moment does entry 1 give?
Answer: 0.00 Bohr magnetons per cell